The following is a DFT calculation (PBE) of a geometry-optimized AlV2Br2 structure.

Cell: 6.802 6.802 4.745 Å, 90.00 90.00 90.00°
Atoms (fractional coordinates):
Br  0.323  0.177  0.500
V  0.900  0.400  0.000
Al  0.500  0.500  0.000
V  0.100  0.600  0.000
Br  0.823  0.323  0.500
Al  0.000  0.000  0.000
Br  0.177  0.677  0.500
Br  0.677  0.823  0.500
V  0.600  0.900  0.000
V  0.400  0.100  0.000

Computed properties:
- Magnetic moment: 0.0 μB per formula unit
- ΔE_f (raw): 0.2730 eV per atom
- SG: P4/mbm



The following is a DFT calculation (PBE) of a geometry-optimized CsCd2MoN structure.

Cell: 5.339 5.686 5.339 Å, 90.00 90.00 90.00°
Site moments in Bohr magnetons follow the coordinates.
Atoms (fractional coordinates):
N  0.500  0.500  0.500  0.39
Mo  0.000  0.000  0.000  2.42
Cs  0.000  0.500  0.000  0.08
Cd  0.500  0.000  0.000  0.03
Cd  0.000  0.000  0.500  0.03

Computed properties:
- Magnetic moment: 3.7 μB per formula unit
- ΔE_f (raw): 2.0486 eV per atom
- SG: P4/mmm



The following is a DFT calculation (PBE) of a geometry-optimized Sm2Si3Pt9 structure.

Cell: 7.719 7.719 10.086 Å, 90.36 112.04 120.10°
Atoms (fractional coordinates):
Pt  0.865  0.014  0.060
Si  0.500  0.500  0.500
Sm  0.336  0.244  0.750
Pt  0.326  0.299  0.242
Pt  0.110  0.860  0.250
Pt  0.214  0.692  0.073
Pt  0.890  0.140  0.750
Pt  0.786  0.308  0.927
Si  0.178  0.357  0.998
Sm  0.664  0.756  0.250
Pt  0.119  0.141  0.427
Pt  0.559  0.362  0.075
Pt  0.786  0.483  0.425
Pt  0.135  0.986  0.940
Pt  0.454  0.805  0.440
Si  0.822  0.643  0.002
Si  0.859  0.180  0.502
Pt  0.546  0.195  0.560
Si  0.141  0.820  0.498
Pt  0.674  0.701  0.758
Sm  0.994  0.586  0.750
Pt  0.441  0.638  0.925
Pt  0.214  0.517  0.575
Pt  0.443  0.915  0.742
Pt  0.557  0.085  0.258
Pt  0.881  0.859  0.573
Sm  0.006  0.414  0.250
Si  0.500  0.000  0.000

Computed properties:
- Magnetic moment: 0.0 μB per formula unit
- ΔE_f (raw): -0.9112 eV per atom
- SG: C2/c



The following is a DFT calculation (PBE) of a geometry-optimized Sr2PmIO8 structure.

Cell: 5.184 5.074 6.991 Å, 89.89 90.04 91.77°
Atoms (fractional coordinates):
O  0.880  0.217  0.208
Sr  0.500  0.501  0.235
O  0.118  0.782  0.209
O  0.308  0.202  0.001
O  0.459  0.140  0.500
O  0.882  0.218  0.791
O  0.541  0.860  0.500
I  0.000  0.000  0.000
O  0.692  0.798  0.999
O  0.120  0.783  0.792
Sr  0.500  0.499  0.765
Pm  0.000  0.000  0.500

Computed properties:
- Magnetic moment: 0.0 μB per formula unit
- ΔE_f (raw): -1.7211 eV per atom
- SG: P-1



The following is a DFT calculation (PBE) of a geometry-optimized BaAcIn structure.

Cell: 6.014 4.248 14.218 Å, 90.04 90.03 44.99°
Atoms (fractional coordinates):
In  0.976  0.219  0.586
Ba  0.976  0.217  0.002
Ac  0.976  0.218  0.280
Ba  0.476  0.220  0.739
In  0.476  0.217  0.155
Ac  0.476  0.219  0.461

Computed properties:
- Magnetic moment: 0.0 μB per formula unit
- SG: P-1
- Formation energy: -0.2797 eV/atom



The following is a DFT calculation (PBE) of a geometry-optimized Pr3Sm2HoSe6 structure.

Cell: 7.250 7.250 7.333 Å, 99.46 99.46 120.25°
Atoms (fractional coordinates):
Se  0.754  0.754  0.241
Se  0.079  0.405  0.237
Sm  0.667  0.333  0.000
Se  0.921  0.595  0.763
Se  0.405  0.079  0.237
Pr  0.500  0.500  0.500
Se  0.595  0.921  0.763
Pr  0.829  0.171  0.500
Sm  0.333  0.667  0.000
Ho  0.000  0.000  0.000
Se  0.246  0.246  0.759
Pr  0.171  0.829  0.500

Computed properties:
- Magnetic moment: 0.0 μB per formula unit
- ΔE_f (raw): -1.8195 eV per atom
- SG: C2/m



The following is a DFT calculation (PBE) of a geometry-optimized TiZn2Ir2 structure.

Cell: 7.162 7.162 2.890 Å, 90.00 90.00 90.00°
Atoms (fractional coordinates):
Ir  0.821  0.321  0.500
Ir  0.179  0.679  0.500
Ti  0.000  0.000  0.000
Zn  0.380  0.880  0.000
Zn  0.620  0.120  0.000
Ir  0.679  0.821  0.500
Zn  0.120  0.380  0.000
Ir  0.321  0.179  0.500
Zn  0.880  0.620  0.000
Ti  0.500  0.500  0.000

Computed properties:
- Magnetic moment: 0.0 μB per formula unit
- SG: P4/mbm
- Formation energy: -0.2758 eV/atom



The following is a DFT calculation (PBE) of a geometry-optimized Tb6AgHg3 structure.

Cell: 5.209 9.365 11.634 Å, 108.21 90.00 90.00°
Atoms (fractional coordinates):
Tb  0.250  0.254  0.493
Hg  0.250  0.775  0.974
Hg  0.250  0.531  0.383
Tb  0.750  0.877  0.844
Tb  0.250  0.478  0.099
Tb  0.750  0.522  0.901
Hg  0.750  0.225  0.026
Tb  0.250  0.123  0.156
Tb  0.750  0.344  0.315
Hg  0.750  0.469  0.617
Tb  0.750  0.746  0.507
Hg  0.750  0.626  0.225
Tb  0.750  0.138  0.666
Tb  0.250  0.656  0.685
Tb  0.250  0.118  0.875
Tb  0.750  0.882  0.125
Ag  0.750  0.062  0.383
Hg  0.250  0.374  0.775
Ag  0.250  0.938  0.617
Tb  0.250  0.862  0.334

Computed properties:
- Magnetic moment: 0.0 μB per formula unit
- SG: P2_1/m
- Formation energy: -0.3068 eV/atom



> Number 1 is which compound?

AlV2Br2



> magnetic moment of number 5 (BaAcIn)?

0.0 μB per formula unit



> Which value of magnetic moment does entry 5 give?

0.0 μB per formula unit